A) Here is a relaxed structure of MoOs3Pd from the Alexandria database. Energies are from PBE.

space-group type = Pm-3m
calculated density = 12626 kg/m³
volume = 101.7 Å³/cell

```
MoOs3Pd
1.0
4.667 0.000 0.000
0.000 4.667 0.000
0.000 0.000 4.667
Mo Os Pd
1 3 1
direct
0.000 0.000 0.000
0.000 0.000 0.500
0.000 0.500 0.000
0.500 0.000 0.000
0.500 0.500 0.500
```

B) Here is a relaxed structure of MoOs3Pd from the Alexandria database. Energies are from PBE.

space-group type = Pm-3m
calculated density = 13109 kg/m³
volume = 97.9 Å³/cell

```
MoOs3Pd
1.0
4.609 0.000 0.000
0.000 4.609 0.000
0.000 0.000 4.609
Mo Os Pd
1 3 1
direct
0.000 0.000 0.000
0.000 0.500 0.500
0.500 0.000 0.500
0.500 0.500 0.000
0.500 0.500 0.500
```

Looking at the structures above, A) is most stable, and the difference to the next one is 583 meV/atom.